Entry 1:
! VZnNi6 (PBE, optimized geometry); values from VASP
&SYSTEM
  ibrav = 0, nat = 8, ntyp = 3
/
ATOMIC_SPECIES
Ni 58.69 Ni.upf
Zn 65.41 Zn.upf
V 50.94 V.upf
ATOMIC_POSITIONS crystal
Ni 0.500 0.000 0.744
Ni 0.000 0.500 0.256
Ni 0.500 0.500 0.000
Ni 0.500 0.000 0.256
Ni 0.500 0.500 0.500
Ni 0.000 0.500 0.744
Zn 0.000 0.000 0.000
V 0.000 0.000 0.500
CELL_PARAMETERS angstrom
3.570 0.000 0.000
0.000 3.570 0.000
0.000 0.000 7.088
! * total DFT energy (no corrections): -46.9 eV/cell
! * total magnetic moment: 0.0 Bohr magnetons per cell
! * crystal system: tetragonal
! * energy above the lowest structure with this stoichiometry: 0 meV per atom

Entry 2:
! SmErMg6 (PBE, optimized geometry); values from VASP
&SYSTEM
  ibrav = 0, nat = 8, ntyp = 3
/
ATOMIC_SPECIES
Mg 24.30 Mg.upf
Er 167.26 Er.upf
Sm 150.36 Sm.upf
ATOMIC_POSITIONS crystal
Mg 0.500 0.914 0.086
Mg 0.500 0.422 0.087
Mg 0.000 0.589 0.926
Mg 0.000 0.074 0.411
Mg 0.000 0.588 0.412
Mg 0.500 0.913 0.578
Er 0.000 0.084 0.916
Sm 0.500 0.416 0.584
CELL_PARAMETERS angstrom
5.196 0.000 0.000
0.000 6.702 -0.216
0.000 -3.161 5.914
! * total DFT energy (no corrections): -19.4 eV/cell
! * total magnetic moment: 0.0 Bohr magnetons per cell
! * crystal system: orthorhombic

Entry 3:
! PmLuBeIr (PBE, optimized geometry); values from VASP
&SYSTEM
  ibrav = 0, nat = 4, ntyp = 4
/
ATOMIC_SPECIES
Ir 192.22 Ir.upf
Be 9.01 Be.upf
Lu 174.97 Lu.upf
Pm 145.00 Pm.upf
ATOMIC_POSITIONS crystal
Ir 0.000 0.000 0.000
Be 0.500 0.500 0.500
Lu 0.250 0.250 0.250
Pm 0.750 0.750 0.750
CELL_PARAMETERS angstrom
4.866 0.000 0.000
2.433 4.214 0.000
2.433 1.405 3.973
! * total DFT energy (no corrections): -23.3 eV/cell
! * total magnetic moment: 0.0 Bohr magnetons per cell
! * crystal system: cubic

Entry 4:
! KCd2Sb (PBE, optimized geometry); values from VASP
&SYSTEM
  ibrav = 0, nat = 8, ntyp = 3
/
ATOMIC_SPECIES
Cd 112.41 Cd.upf
Sb 121.76 Sb.upf
K 39.10 K.upf
ATOMIC_POSITIONS crystal
Cd 0.500 0.500 0.500
Cd 0.500 0.000 0.944
Cd 0.000 0.500 0.056
Cd 0.000 0.000 0.500
Sb 0.500 0.000 0.657
Sb 0.000 0.500 0.343
K 0.000 0.500 0.757
K 0.500 0.000 0.243
CELL_PARAMETERS angstrom
-0.057 -1.180 4.604
4.094 -2.351 -0.552
5.836 9.571 2.525
! * total DFT energy (no corrections): -15.8 eV/cell
! * total magnetic moment: 0.0 Bohr magnetons per cell
! * E_form (uncorrected): -0.209 eV/atom
! * crystal system: tetragonal